Here is crystalline ScGeTe2N at its relaxed geometry from the Alexandria database. Energies are from PBE-GGA.

Cell: 5.728 5.728 3.918 Å, 90.00 90.00 90.00°
Space group P4/mmm (No. 123)
Asymmetric unit:
Sc1 0.000 0.000 0.000 x1
Ge1 0.500 0.500 0.500 x1
Te1 0.000 0.500 0.000 x2
N1 0.000 0.000 0.500 x1

Calculated values
For the formation energy from raw total energies, the calculation gives 0.197 eV/atom. As for the polymorph energy (0 for the lowest one): 0 kJ/mol of formula units. The theoretical density is 4996 kg/m³.